# 1
A plane-wave DFT calculation with GGA-PBE was carried out for a geometry-optimized MnZnAu structure.

Results
- N(E_F) (states/eV/atom) = 0.7000
- ΔH_f (0 K) (eV/atom) = 0.1301
- space group = F-43m, No. 216
- total magnetic moment (μB/cell) = 4.0

a b c (Å): 4.337 4.337 4.337
angles (deg): 60.00 60.00 60.00
Site moments in Bohr magnetons follow the coordinates.
Element x y z (fractional)
Zn 0.500 0.500 0.500  -0.06
Au 0.750 0.750 0.750  0.03
Mn 0.000 0.000 0.000  3.94

# 2
A plane-wave DFT calculation with GGA-PBE was carried out for a geometry-optimized MnZn6Au12 structure.

Results
- N(E_F) (states/eV/atom) = 0.3204
- ΔH_f (0 K) (eV/atom) = -0.1380
- excess energy over the best structure of this formula in the dataset (meV/atom) = 0.0
- space group = R-3, No. 148
- total magnetic moment (μB/cell) = 4.4

a b c (Å): 7.052 7.618 7.618
angles (deg): 69.07 72.03 107.97
Site moments in Bohr magnetons follow the coordinates.
Element x y z (fractional)
Zn 0.578 0.526 0.779  0.00
Zn 0.052 0.694 0.526  0.00
Zn 0.948 0.306 0.474  0.00
Zn 0.643 0.221 0.306  0.00
Zn 0.357 0.779 0.694  0.00
Zn 0.422 0.474 0.221  0.00
Au 0.836 0.949 0.427  0.01
Au 0.666 0.867 0.861  0.01
Au 0.334 0.133 0.139  0.01
Au 0.113 0.376 0.051  0.01
Au 0.263 0.427 0.624  0.01
Au 0.473 0.139 0.728  0.01
Au 0.887 0.624 0.949  0.01
Au 0.164 0.051 0.573  0.01
Au 0.799 0.272 0.867  0.01
Au 0.201 0.728 0.133  0.01
Au 0.737 0.573 0.376  0.01
Au 0.527 0.861 0.272  0.01
Mn 0.000 0.000 0.000  4.07

# 3
A plane-wave DFT calculation with GGA-PBE was carried out for a geometry-optimized MnZn4Au3 structure.

Results
- N(E_F) (states/eV/atom) = 0.3129
- ΔH_f (0 K) (eV/atom) = -0.1355
- excess energy over the best structure of this formula in the dataset (meV/atom) = 0.0
- space group = C2/m, No. 12
- total magnetic moment (μB/cell) = 3.8

a b c (Å): 4.617 4.618 6.774
angles (deg): 109.81 109.93 90.00
Site moments in Bohr magnetons follow the coordinates.
Element x y z (fractional)
Zn 0.378 0.377 0.755  -0.02
Zn 0.622 0.623 0.245  -0.02
Zn 0.122 0.122 0.245  -0.02
Zn 0.878 0.878 0.755  -0.02
Mn 0.500 0.000 0.000  3.64
Au 0.738 0.239 0.476  0.02
Au 0.262 0.761 0.524  0.02
Au 0.000 0.500 0.000  0.01

# 4
A plane-wave DFT calculation with GGA-PBE was carried out for a geometry-optimized Mn2ZnAu structure.

Results
- N(E_F) (states/eV/atom) = 0.6822
- ΔH_f (0 K) (eV/atom) = 0.0260
- space group = P4/mmm, No. 123
- total magnetic moment (μB/cell) = 7.0

a b c (Å): 3.845 3.958 3.958
angles (deg): 90.00 90.00 90.00
Site moments in Bohr magnetons follow the coordinates.
Element x y z (fractional)
Zn 0.500 0.500 0.000  -0.09
Au 0.500 0.000 0.500  0.02
Mn 0.000 0.500 0.500  3.43
Mn 0.000 0.000 0.000  3.43